Entry 1:
The following is a DFT calculation (PBE-GGA) of a relaxed structure of LaSn2P2Pt7.

Unit cell a=3.9804 b=3.9804 c=15.5012 alpha=97.36 beta=97.36 gamma=89.98
Atoms (fractional coordinates):
1 La 0.0000 0.0000 0.0000
2 Sn 0.2129 0.2129 0.4262
3 Sn 0.7871 0.7871 0.5738
4 P 0.3793 0.3793 0.7601
5 P 0.6207 0.6207 0.2399
6 Pt 0.0782 0.5778 0.1554
7 Pt 0.3037 0.3037 0.6093
8 Pt 0.4222 0.9218 0.8446
9 Pt 0.5000 0.5000 0.0000
10 Pt 0.5778 0.0782 0.1554
11 Pt 0.6963 0.6963 0.3907
12 Pt 0.9218 0.4222 0.8446

Summary:
Uncorrected energy   -6.117 eV/atom
Formation energy from the elements   -7.362 eV per formula unit
Total magnetic moment   0.00 μB per cell
Volume   241.5 Å³ per cell

Entry 2:
The following is a DFT calculation (PBE-GGA) of a relaxed structure of La2SnPPt6.

Unit cell a=5.6442 b=8.6272 c=8.6583 alpha=90.00 beta=90.00 gamma=90.00
Atoms (fractional coordinates):
1 La 0.2500 0.0003 0.2349
2 La 0.2500 0.4997 0.2349
3 La 0.7500 0.9997 0.7651
4 La 0.7500 0.5003 0.7651
5 Sn 0.2500 0.2500 0.7889
6 Sn 0.7500 0.7500 0.2111
7 P 0.2500 0.7500 0.7371
8 P 0.7500 0.2500 0.2629
9 Pt 0.0011 0.2500 0.5091
10 Pt 0.0074 0.7500 0.9579
11 Pt 0.2500 0.5058 0.6121
12 Pt 0.2500 0.9942 0.6121
13 Pt 0.4926 0.7500 0.9579
14 Pt 0.4989 0.2500 0.5091
15 Pt 0.5011 0.7500 0.4909
16 Pt 0.5074 0.2500 0.0421
17 Pt 0.7500 0.0058 0.3879
18 Pt 0.7500 0.4942 0.3879
19 Pt 0.9926 0.2500 0.0421
20 Pt 0.9989 0.7500 0.4909

Summary:
Uncorrected energy   -6.480 eV/atom
Formation energy from the elements   -9.287 eV per formula unit
Total magnetic moment   0.00 μB per cell
Volume   421.6 Å³ per cell

Entry 3:
The following is a DFT calculation (PBE-GGA) of a relaxed structure of SrLaP2Pt2.

Unit cell a=4.1911 b=4.1911 c=8.6068 alpha=90.00 beta=90.00 gamma=120.00
Atoms (fractional coordinates):
1 Sr 0.0000 0.0000 0.0000
2 La 0.0000 0.0000 0.5000
3 P 0.3333 0.6667 0.2634
4 P 0.6667 0.3333 0.7366
5 Pt 0.3333 0.6667 0.7446
6 Pt 0.6667 0.3333 0.2554

Summary:
Uncorrected energy   -6.182 eV/atom
Formation energy from the elements   -7.582 eV per formula unit
Total magnetic moment   0.00 μB per cell
Volume   130.9 Å³ per cell

Entry 4:
The following is a DFT calculation (PBE-GGA) of a relaxed structure of La2TbP3Pt12.

Unit cell a=7.7874 b=7.7874 c=7.7874 alpha=64.59 beta=64.59 gamma=64.59
Atoms (fractional coordinates):
1 La 0.1027 0.1027 0.1027
2 La 0.8973 0.8973 0.8973
3 Tb 0.5000 0.5000 0.5000
4 P 0.0000 0.5000 0.5000
5 P 0.5000 0.0000 0.5000
6 P 0.5000 0.5000 0.0000
7 Pt 0.0986 0.6402 0.6402
8 Pt 0.1622 0.1622 0.6013
9 Pt 0.1622 0.6013 0.1622
10 Pt 0.3598 0.3598 0.9014
11 Pt 0.3598 0.9014 0.3598
12 Pt 0.3987 0.8378 0.8378
13 Pt 0.6013 0.1622 0.1622
14 Pt 0.6402 0.0986 0.6402
15 Pt 0.6402 0.6402 0.0986
16 Pt 0.8378 0.3987 0.8378
17 Pt 0.8378 0.8378 0.3987
18 Pt 0.9014 0.3598 0.3598

Summary:
Uncorrected energy   -6.252 eV/atom
Formation energy from the elements   -9.328 eV per formula unit
Total magnetic moment   0.00 μB per cell
Volume   367.5 Å³ per cell

Entry 5:
The following is a DFT calculation (PBE-GGA) of a relaxed structure of La2TiP3Pt4.

Unit cell a=4.2364 b=4.2364 c=10.3153 alpha=90.00 beta=90.00 gamma=90.00
Atoms (fractional coordinates):
1 La 0.0000 0.5000 0.2377
2 La 0.5000 0.0000 0.7623
3 Ti 0.0000 0.0000 0.5000
4 P 0.0000 0.5000 0.8668
5 P 0.5000 0.0000 0.1332
6 P 0.5000 0.5000 0.5000
7 Pt 0.0000 0.0000 0.0000
8 Pt 0.0000 0.5000 0.6334
9 Pt 0.5000 0.0000 0.3666
10 Pt 0.5000 0.5000 0.0000

Summary:
Uncorrected energy   -6.829 eV/atom
Formation energy from the elements   -10.152 eV per formula unit
Total magnetic moment   0.00 μB per cell
Volume   185.1 Å³ per cell

Entry 6:
The following is a DFT calculation (PBE-GGA) of a relaxed structure of LaTlP2Pt.

Unit cell a=4.8699 b=4.8699 c=6.3070 alpha=90.00 beta=90.00 gamma=90.00
Atoms (fractional coordinates):
1 La 0.0000 0.0000 0.0000
2 Tl 0.0000 0.0000 0.5000
3 P 0.0000 0.5000 0.5000
4 P 0.5000 0.0000 0.5000
5 Pt 0.5000 0.5000 0.0000

Summary:
Uncorrected energy   -3.849 eV/atom
Formation energy from the elements   4.911 eV per formula unit
Total magnetic moment   0.00 μB per cell
Volume   149.6 Å³ per cell

Entry 7:
The following is a DFT calculation (PBE-GGA) of a relaxed structure of LaTlPPt2.

Unit cell a=4.6649 b=4.6649 c=5.4528 alpha=90.00 beta=90.00 gamma=90.00
Atoms (fractional coordinates):
1 La 0.0000 0.0000 0.0000
2 Tl 0.5000 0.5000 0.0000
3 P 0.0000 0.0000 0.5000
4 Pt 0.0000 0.5000 0.5000
5 Pt 0.5000 0.0000 0.5000

Summary:
Uncorrected energy   -5.312 eV/atom
Formation energy from the elements   -1.773 eV per formula unit
Total magnetic moment   0.00 μB per cell
Volume   118.7 Å³ per cell

Entry 8:
The following is a DFT calculation (PBE-GGA) of a relaxed structure of La2UP3Pt4.

Unit cell a=4.1697 b=4.1697 c=11.4426 alpha=90.00 beta=90.00 gamma=90.00
Atoms (fractional coordinates):
1 La 0.0000 0.5000 0.2226
2 La 0.5000 0.0000 0.7774
3 U 0.0000 0.0000 0.5000
4 P 0.0000 0.5000 0.8804
5 P 0.5000 0.0000 0.1196
6 P 0.5000 0.5000 0.5000
7 Pt 0.0000 0.0000 0.0000
8 Pt 0.0000 0.5000 0.6727
9 Pt 0.5000 0.0000 0.3273
10 Pt 0.5000 0.5000 0.0000

Summary:
Uncorrected energy   -7.064 eV/atom
Formation energy from the elements   -9.100 eV per formula unit
Total magnetic moment   2.50 μB per cell
Volume   198.9 Å³ per cell

Entry 9:
The following is a DFT calculation (PBE-GGA) of a relaxed structure of La2YP3Pt12.

Unit cell a=7.7858 b=7.7858 c=7.7858 alpha=64.60 beta=64.60 gamma=64.60
Atoms (fractional coordinates):
1 La 0.1027 0.1027 0.1027
2 La 0.8973 0.8973 0.8973
3 Y 0.5000 0.5000 0.5000
4 P 0.0000 0.5000 0.5000
5 P 0.5000 0.0000 0.5000
6 P 0.5000 0.5000 0.0000
7 Pt 0.0986 0.6402 0.6402
8 Pt 0.1621 0.1621 0.6012
9 Pt 0.1621 0.6012 0.1621
10 Pt 0.3598 0.3598 0.9014
11 Pt 0.3598 0.9014 0.3598
12 Pt 0.3988 0.8379 0.8379
13 Pt 0.6012 0.1621 0.1621
14 Pt 0.6402 0.0986 0.6402
15 Pt 0.6402 0.6402 0.0986
16 Pt 0.8379 0.3988 0.8379
17 Pt 0.8379 0.8379 0.3988
18 Pt 0.9014 0.3598 0.3598

Summary:
Uncorrected energy   -6.352 eV/atom
Formation energy from the elements   -9.306 eV per formula unit
Total magnetic moment   0.00 μB per cell
Volume   367.4 Å³ per cell

Entry 10:
The following is a DFT calculation (PBE-GGA) of a relaxed structure of La2ZnP4Pt3.

Unit cell a=4.3892 b=4.3892 c=9.4981 alpha=90.00 beta=90.00 gamma=90.00
Atoms (fractional coordinates):
1 La 0.0000 0.5000 0.2451
2 La 0.5000 0.0000 0.7549
3 Zn 0.0000 0.0000 0.5000
4 P 0.0000 0.0000 0.0000
5 P 0.0000 0.5000 0.6312
6 P 0.5000 0.0000 0.3688
7 P 0.5000 0.5000 0.0000
8 Pt 0.0000 0.5000 0.8886
9 Pt 0.5000 0.0000 0.1114
10 Pt 0.5000 0.5000 0.5000

Summary:
Uncorrected energy   -6.059 eV/atom
Formation energy from the elements   -9.697 eV per formula unit
Total magnetic moment   0.00 μB per cell
Volume   183.0 Å³ per cell

Entry 11:
The following is a DFT calculation (PBE-GGA) of a relaxed structure of La2ZnPPt6.

Unit cell a=5.6034 b=8.7650 c=8.1945 alpha=90.00 beta=90.00 gamma=90.00
Atoms (fractional coordinates):
1 La 0.2500 0.0139 0.2260
2 La 0.2500 0.4861 0.2260
3 La 0.7500 0.5139 0.7740
4 La 0.7500 0.9861 0.7740
5 Zn 0.2500 0.7500 0.7819
6 Zn 0.7500 0.2500 0.2181
7 P 0.2500 0.2500 0.7323
8 P 0.7500 0.7500 0.2677
9 Pt 0.0027 0.7500 0.0398
10 Pt 0.0036 0.7500 0.5116
11 Pt 0.2500 0.0025 0.6126
12 Pt 0.2500 0.4975 0.6126
13 Pt 0.4964 0.7500 0.5116
14 Pt 0.4973 0.7500 0.0398
15 Pt 0.5027 0.2500 0.9602
16 Pt 0.5036 0.2500 0.4884
17 Pt 0.7500 0.5025 0.3874
18 Pt 0.7500 0.9975 0.3874
19 Pt 0.9964 0.2500 0.4884
20 Pt 0.9973 0.2500 0.9602

Summary:
Uncorrected energy   -6.206 eV/atom
Formation energy from the elements   -9.273 eV per formula unit
Total magnetic moment   0.00 μB per cell
Volume   402.5 Å³ per cell

Entry 12:
The following is a DFT calculation (PBE-GGA) of a relaxed structure of La2ZnP3Pt12.

Unit cell a=7.7009 b=7.7009 c=7.7009 alpha=64.68 beta=64.68 gamma=64.68
Atoms (fractional coordinates):
1 La 0.1151 0.1151 0.1151
2 La 0.8849 0.8849 0.8849
3 Zn 0.5000 0.5000 0.5000
4 P 0.0000 0.5000 0.5000
5 P 0.5000 0.0000 0.5000
6 P 0.5000 0.5000 0.0000
7 Pt 0.1288 0.6240 0.6240
8 Pt 0.1569 0.1569 0.6008
9 Pt 0.1569 0.6008 0.1569
10 Pt 0.3760 0.3760 0.8712
11 Pt 0.3760 0.8712 0.3760
12 Pt 0.3992 0.8431 0.8431
13 Pt 0.6008 0.1569 0.1569
14 Pt 0.6240 0.1288 0.6240
15 Pt 0.6240 0.6240 0.1288
16 Pt 0.8431 0.3992 0.8431
17 Pt 0.8431 0.8431 0.3992
18 Pt 0.8712 0.3760 0.3760

Summary:
Uncorrected energy   -6.046 eV/atom
Formation energy from the elements   -8.985 eV per formula unit
Total magnetic moment   0.00 μB per cell
Volume   356.0 Å³ per cell

Entry 13:
The following is a DFT calculation (PBE-GGA) of a relaxed structure of La2ZnP3Pt4.

Unit cell a=4.3028 b=4.3028 c=9.9363 alpha=90.00 beta=90.00 gamma=90.00
Atoms (fractional coordinates):
1 La 0.0000 0.5000 0.2462
2 La 0.5000 0.0000 0.7538
3 Zn 0.0000 0.0000 0.5000
4 P 0.0000 0.5000 0.8681
5 P 0.5000 0.0000 0.1319
6 P 0.5000 0.5000 0.5000
7 Pt 0.0000 0.0000 0.0000
8 Pt 0.0000 0.5000 0.6288
9 Pt 0.5000 0.0000 0.3712
10 Pt 0.5000 0.5000 0.0000

Summary:
Uncorrected energy   -6.142 eV/atom
Formation energy from the elements   -9.897 eV per formula unit
Total magnetic moment   0.00 μB per cell
Volume   184.0 Å³ per cell

Entry 14:
The following is a DFT calculation (PBE-GGA) of a relaxed structure of LaPu3P4.

Unit cell a=5.7636 b=5.7636 c=5.7636 alpha=90.00 beta=90.00 gamma=90.00
Atoms (fractional coordinates):
1 La 0.0000 0.0000 0.0000
2 Pu 0.0000 0.5000 0.5000
3 Pu 0.5000 0.0000 0.5000
4 Pu 0.5000 0.5000 0.0000
5 P 0.0000 0.0000 0.5000
6 P 0.0000 0.5000 0.0000
7 P 0.5000 0.0000 0.0000
8 P 0.5000 0.5000 0.5000

Summary:
Uncorrected energy   -9.900 eV/atom
Formation energy from the elements   -9.641 eV per formula unit
Total magnetic moment   14.86 μB per cell
Volume   191.5 Å³ per cell

Entry 15:
The following is a DFT calculation (PBE-GGA) of a relaxed structure of LaPu5P6.

Unit cell a=6.9994 b=6.9994 c=6.9802 alpha=99.64 beta=99.64 gamma=119.97
Atoms (fractional coordinates):
1 La 0.0000 0.0000 0.0000
2 Pu 0.1638 0.8362 0.5000
3 Pu 0.3326 0.6674 0.0000
4 Pu 0.5000 0.5000 0.5000
5 Pu 0.6674 0.3326 0.0000
6 Pu 0.8362 0.1638 0.5000
7 P 0.0862 0.4308 0.2570
8 P 0.2603 0.2603 0.7444
9 P 0.4308 0.0862 0.2570
10 P 0.5692 0.9138 0.7430
11 P 0.7397 0.7397 0.2556
12 P 0.9138 0.5692 0.7430

Summary:
Uncorrected energy   -10.253 eV/atom
Formation energy from the elements   -13.993 eV per formula unit
Total magnetic moment   5.05 μB per cell
Volume   279.2 Å³ per cell

Entry 16:
The following is a DFT calculation (PBE-GGA) of a relaxed structure of LaPuP2.

Unit cell a=7.1412 b=7.1412 c=7.1412 alpha=33.66 beta=33.66 gamma=33.66
Atoms (fractional coordinates):
1 La 0.0000 0.0000 0.0000
2 Pu 0.5000 0.5000 0.5000
3 P 0.2429 0.2429 0.2429
4 P 0.7571 0.7571 0.7571

Summary:
Uncorrected energy   -8.860 eV/atom
Formation energy from the elements   -5.361 eV per formula unit
Total magnetic moment   4.93 μB per cell
Volume   99.7 Å³ per cell

Entry 17:
The following is a DFT calculation (PBE-GGA) of a relaxed structure of La4PuP5.

Unit cell a=15.2252 b=15.2252 c=15.2252 alpha=164.04 beta=164.04 gamma=22.65
Atoms (fractional coordinates):
1 La 0.0989 0.0989 0.0000
2 La 0.3006 0.3006 0.0000
3 La 0.6994 0.6994 0.0000
4 La 0.9011 0.9011 0.0000
5 Pu 0.5000 0.5000 0.0000
6 P 0.0000 0.0000 0.0000
7 P 0.1995 0.1995 0.0000
8 P 0.4041 0.4041 0.0000
9 P 0.5959 0.5959 0.0000
10 P 0.8005 0.8005 0.0000

Summary:
Uncorrected energy   -7.566 eV/atom
Formation energy from the elements   -14.569 eV per formula unit
Total magnetic moment   4.86 μB per cell
Volume   266.8 Å³ per cell

Entry 18:
The following is a DFT calculation (PBE-GGA) of a relaxed structure of LaPu2P3.

Unit cell a=7.0803 b=7.0803 c=7.0803 alpha=146.45 beta=131.71 gamma=60.08
Atoms (fractional coordinates):
1 La 0.0000 0.0000 0.0000
2 Pu 0.3356 0.3356 0.0000
3 Pu 0.6644 0.6644 0.0000
4 P 0.1788 0.6788 0.5000
5 P 0.5000 0.0000 0.5000
6 P 0.8212 0.3212 0.5000

Summary:
Uncorrected energy   -9.565 eV/atom
Formation energy from the elements   -7.570 eV per formula unit
Total magnetic moment   9.89 μB per cell
Volume   145.1 Å³ per cell

Entry 19:
The following is a DFT calculation (PBE-GGA) of a relaxed structure of La2PuP.

Unit cell a=10.5271 b=10.5271 c=10.5271 alpha=21.24 beta=21.24 gamma=21.24
Atoms (fractional coordinates):
1 La 0.1095 0.1095 0.1095
2 La 0.8905 0.8905 0.8905
3 Pu 0.0000 0.0000 0.0000
4 P 0.5000 0.5000 0.5000

Summary:
Uncorrected energy   -7.766 eV/atom
Formation energy from the elements   -1.466 eV per formula unit
Total magnetic moment   6.21 μB per cell
Volume   134.2 Å³ per cell

Entry 20:
The following is a DFT calculation (PBE-GGA) of a relaxed structure of LaPuP2.

Unit cell a=7.3766 b=7.3766 c=7.3766 alpha=32.08 beta=32.08 gamma=32.08
Atoms (fractional coordinates):
1 La 0.0000 0.0000 0.0000
2 Pu 0.8286 0.8286 0.8286
3 P 0.2394 0.2394 0.2394
4 P 0.4209 0.4209 0.4209

Summary:
Uncorrected energy   -8.728 eV/atom
Formation energy from the elements   -4.833 eV per formula unit
Total magnetic moment   4.99 μB per cell
Volume   100.6 Å³ per cell

Entry 21:
The following is a DFT calculation (PBE-GGA) of a relaxed structure of La2PuP3.

Unit cell a=9.3611 b=9.3611 c=9.3611 alpha=154.12 beta=154.12 gamma=36.93
Atoms (fractional coordinates):
1 La 0.1662 0.1662 0.0000
2 La 0.8338 0.8338 0.0000
3 Pu 0.5000 0.5000 0.0000
4 P 0.0000 0.0000 0.0000
5 P 0.3385 0.3385 0.0000
6 P 0.6615 0.6615 0.0000

Summary:
Uncorrected energy   -8.118 eV/atom
Formation energy from the elements   -8.291 eV per formula unit
Total magnetic moment   4.92 μB per cell
Volume   156.1 Å³ per cell

Entry 22:
The following is a DFT calculation (PBE-GGA) of a relaxed structure of LaPuP2.

Unit cell a=4.0917 b=4.0917 c=7.0673 alpha=90.00 beta=90.00 gamma=120.00
Atoms (fractional coordinates):
1 La 0.0000 0.0000 0.0000
2 Pu 0.0000 0.0000 0.5000
3 P 0.3333 0.6667 0.7306
4 P 0.6667 0.3333 0.2694

Summary:
Uncorrected energy   -8.648 eV/atom
Formation energy from the elements   -4.511 eV per formula unit
Total magnetic moment   4.99 μB per cell
Volume   102.5 Å³ per cell